[1]
A plane-wave DFT calculation with PBE-GGA was carried out for Sb2S3Cl after structural relaxation.

POSCAR file:
```
Sb2S3Cl
1.0
-3.656 -0.177 -1.727
3.464 -9.578 -1.611
-4.459 4.965 8.932
Sb S Cl
4 6 2
direct
0.746 0.491 0.141 Sb
0.254 0.509 0.859 Sb
0.440 0.881 0.689 Sb
0.560 0.119 0.311 Sb
0.078 0.156 0.467 S
0.731 0.461 0.446 S
0.922 0.844 0.533 S
0.343 0.686 0.167 S
0.269 0.539 0.554 S
0.657 0.314 0.833 S
0.120 0.241 0.050 Cl
0.880 0.759 0.950 Cl
```

Crystal system = monoclinic
Formation energy without anion corrections = -0.25 eV per atom
Offset from the most stable computed form = 0 meV per atom


[2]
A plane-wave DFT calculation with PBE-GGA was carried out for PrPaIrPd after structural relaxation.

POSCAR file:
```
PrPaIrPd
1.0
-2.513 1.712 -3.970
-4.941 -0.702 -0.325
-3.115 3.881 0.495
Pr Pd Ir Pa
1 1 1 1
direct
0.500 0.500 0.500 Pr
0.750 0.750 0.750 Pd
0.250 0.250 0.250 Ir
0.000 0.000 0.000 Pa
```

Crystal system = cubic
E_tot = -0.279 hartree per atom


[3]
A plane-wave DFT calculation with PBE-GGA was carried out for Cr2TcRu after structural relaxation.

POSCAR file:
```
Cr2TcRu
1.0
-1.575 -3.093 2.011
1.697 0.436 2.001
-2.434 3.227 3.059
Cr Ru Tc
2 1 1
direct
0.500 0.176 0.242 Cr
0.000 0.075 0.011 Cr
0.000 0.456 0.480 Ru
0.500 0.793 0.767 Tc
```

Crystal system = monoclinic
E_tot = -0.353 hartree per atom


[4]
A plane-wave DFT calculation with PBE-GGA was carried out for La2Ce3ThS6 after structural relaxation.

POSCAR file:
```
La2Ce3ThS6
1.0
4.070 0.000 0.000
0.000 8.134 0.284
-2.035 -2.350 8.559
S Ce La Th
6 3 2 1
direct
0.333 0.922 0.666 S
0.998 0.250 0.995 S
0.335 0.411 0.669 S
0.665 0.589 0.331 S
0.002 0.750 0.005 S
0.667 0.078 0.334 S
0.833 0.165 0.666 Ce
0.500 0.500 0.000 Ce
0.167 0.835 0.334 Ce
0.834 0.667 0.669 La
0.166 0.333 0.331 La
0.500 0.000 0.000 Th
```

Crystal system = monoclinic
Formation energy without anion corrections = -2.05 eV per atom


[5]
A plane-wave DFT calculation with PBE-GGA was carried out for Ca2HPd after structural relaxation.

POSCAR file:
```
Ca2HPd
1.0
6.762 0.000 0.000
0.000 6.762 0.000
3.381 3.381 3.698
H Ca Pd
2 4 2
direct
0.500 0.500 0.000 H
0.250 0.750 0.500 H
0.375 0.446 0.750 Ca
0.196 0.625 0.250 Ca
0.554 0.125 0.250 Ca
0.875 0.804 0.750 Ca
0.000 0.000 0.000 Pd
0.750 0.250 0.500 Pd
```

Crystal system = tetragonal
Offset from the most stable computed form = 0 meV per atom


[6]
A plane-wave DFT calculation with PBE-GGA was carried out for SnGeS after structural relaxation.

POSCAR file:
```
SnGeS
1.0
4.118 0.000 0.003
0.000 3.916 0.000
-2.813 0.000 17.660
Sn Ge S
4 4 4
direct
0.689 0.000 0.049 Sn
0.689 0.500 0.549 Sn
0.090 0.000 0.394 Sn
0.090 0.500 0.894 Sn
0.408 0.000 0.719 Ge
0.408 0.500 0.219 Ge
0.570 0.000 0.869 Ge
0.570 0.500 0.369 Ge
0.186 0.000 0.543 S
0.773 0.000 0.203 S
0.186 0.500 0.043 S
0.773 0.500 0.703 S
```

Crystal system = monoclinic
Formation energy without anion corrections = -0.13 eV per atom
Offset from the most stable computed form = 0 meV per atom


| no. | theoretical density (kg/m³) |
| --- | --- |
| 1 | 3755 |
| 2 | 12593 |
| 3 | 9617 |
| 4 | 6516 |
| 5 | 3684 |
| 6 | 5210 |